Record 1
Below is crystalline CaAl2O4 at its relaxed geometry, with properties calculated at the PBE level.

Unit cell a=8.8382 b=8.8382 c=8.2103 alpha=90.00 beta=90.00 gamma=120.00
Space group P6_3 (No. 173)
Symmetry-distinct sites (fractional):
Ca 0.0000 0.0000 0.0000 (multiplicity 2)
Ca 0.3333 0.6667 0.0144 (multiplicity 2)
Ca 0.3333 0.6667 0.5823 (multiplicity 2)
Al 0.0204 0.3388 0.7133 (multiplicity 6)
Al 0.0282 0.3438 0.3209 (multiplicity 6)
O 0.0982 0.5519 0.7960 (multiplicity 6)
O 0.1130 0.2263 0.8114 (multiplicity 6)
O 0.1203 0.3853 0.5181 (multiplicity 6)
O 0.2082 0.7907 0.1871 (multiplicity 6)

Output
Polymorph energy (0 for the lowest one) ... 7 meV per atom
Formation energy from raw total energies ... -3049 meV/atom


Record 2
Below is crystalline Ag3P at its relaxed geometry, with properties calculated at the PBE level.

Unit cell a=4.093 b=4.093 c=16.487 alpha=90.00 beta=90.00 gamma=90.00
Space group I4/mmm (No. 139)
Symmetry-distinct sites (fractional):
Ag 0.000 0.000 0.123 (multiplicity 4)
Ag 0.000 0.500 0.000 (multiplicity 4)
Ag 0.000 0.500 0.250 (multiplicity 4)
P 0.000 0.000 0.370 (multiplicity 4)

Output
Uncorrected energy ... -3.280 eV per atom


Record 3
Below is crystalline Rb5Ti2Br12 at its relaxed geometry, with properties calculated at the PBE level.

Unit cell a=18.838 b=7.893 c=11.436 alpha=90.00 beta=108.60 gamma=90.00
Space group C2/m (No. 12)
Symmetry-distinct sites (fractional):
Rb 0.000 0.000 0.000 (multiplicity 2)
Rb 0.185 0.500 0.325 (multiplicity 4)
Rb 0.197 0.500 0.884 (multiplicity 4)
Ti 0.000 0.239 0.500 (multiplicity 4)
Br 0.004 0.000 0.661 (multiplicity 4)
Br 0.004 0.500 0.654 (multiplicity 4)
Br 0.139 0.248 0.564 (multiplicity 8)
Br 0.153 0.247 0.088 (multiplicity 8)

Output
Formation energy from raw total energies ... -1412 meV/atom


Record 4
Below is crystalline CsCaB2H8 at its relaxed geometry, with properties calculated at the PBE level.

Unit cell a=4.4107 b=4.4107 c=24.5205 alpha=90.00 beta=90.00 gamma=120.00
Space group R-3m (No. 166, hexagonal axes)
Symmetry-distinct sites (fractional):
Cs 0.0000 0.0000 0.0000 (multiplicity 3)
Ca 0.0000 0.0000 0.5000 (multiplicity 3)
B 0.0000 0.0000 0.2312 (multiplicity 6)
H 0.0000 0.0000 0.2810 (multiplicity 6)
H 0.0262 0.5131 0.4521 (multiplicity 18)

Output
Uncorrected energy ... -3.915 eV per atom


Record 5
Below is crystalline ScTiO at its relaxed geometry, with properties calculated at the PBE level.

Unit cell a=3.176 b=3.176 c=8.020 alpha=90.00 beta=90.00 gamma=90.00
Space group P4/nmm (No. 129, origin choice 2)
Symmetry-distinct sites (fractional):
Sc 0.250 0.250 0.148 (multiplicity 2)
Ti 0.250 0.250 0.596 (multiplicity 2)
O 0.250 0.250 0.871 (multiplicity 2)

Output
Polymorph energy (0 for the lowest one) ... 0 meV per atom
Formation energy from raw total energies ... -1944 meV/atom


Record 6
Below is crystalline TmHgPbAu at its relaxed geometry, with properties calculated at the PBE level.

Unit cell a=7.257 b=7.257 c=7.257 alpha=90.00 beta=90.00 gamma=90.00
Space group F-43m (No. 216)
Symmetry-distinct sites (fractional):
Tm 0.000 0.000 0.000 (multiplicity 4)
Hg 0.250 0.250 0.250 (multiplicity 4)
Pb 0.000 0.000 0.500 (multiplicity 4)
Au 0.250 0.250 0.750 (multiplicity 4)

Output
Uncorrected energy ... -3.318 eV per atom


The total moment results, record by record, are as follows: 0.0; 0.0; 1.3; 0.0; 0.0; 0.0 μB per formula unit.